No. 1
## Sm6In2N (PBE)

Data for a relaxed Sm6In2N crystal.

a b c (Å): 3.466 10.078 8.841
angles (deg): 124.75 90.00 90.00
Fractional coordinates of all 9 atoms:
Sm: 0.500 0.618 0.000
Sm: 0.500 0.435 0.488
Sm: 0.000 0.034 0.221
Sm: 0.000 0.813 0.779
Sm: 0.500 0.946 0.512
Sm: 0.000 0.213 0.000
N: 0.500 0.056 0.000
In: 0.000 0.602 0.319
In: 0.000 0.283 0.681

Calculated values
As for the total magnetization: 0.00 μB per atom. The energy above the most stable polymorph in this dataset is 234 meV per atom. The total energy is -5.036 eV/atom.

=====

No. 2
## ZrBiSbI2 (PBE)

Data for a relaxed ZrBiSbI2 crystal.

a b c (Å): 5.575 5.575 5.983
angles (deg): 90.00 90.00 90.00
Each line ends with the local moment (μB).
Fractional coordinates of all 5 atoms:
Zr: 0.000 0.000 0.000  0.27
I: 0.500 0.000 0.000  0.01
I: 0.000 0.500 0.000  0.01
Sb: 0.000 0.000 0.500  -0.12
Bi: 0.500 0.500 0.500  0.99

Calculated values
As for the total magnetization: 0.34 μB per atom. The energy above the most stable polymorph in this dataset is 0 meV per atom. The total energy is -3.835 eV/atom.

=====

No. 3
## NpMnRh2 (PBE)

Data for a relaxed NpMnRh2 crystal.

a b c (Å): 3.137 3.137 6.820
angles (deg): 90.00 90.00 90.00
Each line ends with the local moment (μB).
Fractional coordinates of all 4 atoms:
Rh: 0.000 0.000 0.778  0.12
Rh: 0.000 0.000 0.222  0.12
Np: 0.500 0.500 0.500  3.51
Mn: 0.500 0.500 0.000  3.80

Calculated values
As for the total magnetization: 1.97 μB per atom. As for the formation energy: -162.5 meV/atom. The energy above the most stable polymorph in this dataset is 184 meV per atom. The total energy is -9.366 eV/atom.

=====

No. 4
## TaPdIN2 (PBE)

Data for a relaxed TaPdIN2 crystal.

a b c (Å): 4.059 4.059 5.159
angles (deg): 90.00 90.00 90.00
Fractional coordinates of all 5 atoms:
I: 0.000 0.000 0.500
N: 0.000 0.500 0.000
N: 0.500 0.000 0.000
Pd: 0.000 0.000 0.000
Ta: 0.500 0.500 0.500

Calculated values
As for the total magnetization: 0.00 μB per atom. The energy above the most stable polymorph in this dataset is 1655 meV per atom. The total energy is -5.010 eV/atom.